The following is a DFT calculation (GGA-PBE) of a relaxed structure of Cs2Ca4H.

Cell lengths 5.570, 5.570, 12.237 Å; angles 76.85, 76.85, 90.00 degrees
Sites, in units of the cell vectors:
Cs  0.680  0.680  0.639
Cs  0.320  0.320  0.361
H  0.000  0.000  0.000
Ca  0.500  0.000  0.000
Ca  0.104  0.104  0.792
Ca  0.000  0.500  0.000
Ca  0.896  0.896  0.208

Calculated values
Electronic total energy: -12.1 eV/f.u.
Calculated volume: 51.34 Å³ per atom
Symmetry: I4/mmm (139)
Total moment: 0.00 Bohr magnetons per cell